FeTeMo2: optimized geometry, PBEsol.

Cell lengths 3.726, 3.770, 8.489 Å; angles 90.00, 90.00, 90.00 degrees
Space group Immm (No. 71)
Symmetry-distinct sites (fractional):
Fe: 0.000 0.000 0.000
Te: 0.000 0.000 0.500
Mo: 0.000 0.500 0.250

D(E_F) in states/eV per cell: 7.63
VASP energy in eV/cell: -69.16
Raw formation energy in kJ per mole of atoms: 35